# MoPAu, relaxed, DFT PBE-GGA
# Space group   Fmm2, No. 42
# E above lowest polymorph   0.66 eV/f.u.
# Energy of formation   0.250 eV/atom
# Total magnetization   0.000 μB/f.u.
data_MoPAu
_symmetry_space_group_name_H-M 'P 1'
_symmetry_Int_Tables_number 1
_cell_length_a 7.3621
_cell_length_b 7.2039
_cell_length_c 2.7995
_cell_angle_alpha 82.12
_cell_angle_beta 75.76
_cell_angle_gamma 22.13
loop_
_symmetry_equiv_pos_as_xyz
'x,y,z'
loop_
_atom_site_label
_atom_site_fract_x
_atom_site_fract_y
_atom_site_fract_z
Mo1 0.3192 0.3192 0.6808
P1 0.6944 0.6944 0.3056
Au1 0.9865 0.9865 0.0135

***

# PmSmNiOs, relaxed, DFT PBE-GGA
# Space group   F-43m, No. 216
# Energy of formation   -0.125 eV/atom
# Total magnetization   0.000 μB/f.u.
data_PmSmNiOs
_symmetry_space_group_name_H-M 'P 1'
_symmetry_Int_Tables_number 1
_cell_length_a 4.9209
_cell_length_b 4.9209
_cell_length_c 4.9209
_cell_angle_alpha 60.00
_cell_angle_beta 60.00
_cell_angle_gamma 60.00
loop_
_symmetry_equiv_pos_as_xyz
'x,y,z'
loop_
_atom_site_label
_atom_site_fract_x
_atom_site_fract_y
_atom_site_fract_z
Sm1 0.5000 0.5000 0.5000
Os1 0.7500 0.7500 0.7500
Ni1 0.2500 0.2500 0.2500
Pm1 0.0000 0.0000 0.0000

***

# LaDy2Er7, relaxed, DFT PBE-GGA
# Space group   P-1, No. 2
# E above lowest polymorph   0.00 eV/f.u.
# Energy of formation   0.026 eV/atom
# Total magnetization   0.000 μB/f.u.
data_LaDy2Er7
_symmetry_space_group_name_H-M 'P 1'
_symmetry_Int_Tables_number 1
_cell_length_a 6.1217
_cell_length_b 10.5957
_cell_length_c 7.9178
_cell_angle_alpha 107.37
_cell_angle_beta 75.13
_cell_angle_gamma 140.22
loop_
_symmetry_equiv_pos_as_xyz
'x,y,z'
loop_
_atom_site_label
_atom_site_fract_x
_atom_site_fract_y
_atom_site_fract_z
Er1 0.2991 0.8994 0.2017
Er2 0.1954 0.5977 0.7983
Er3 0.7009 0.1006 0.7983
Er4 0.8046 0.4023 0.2017
Er5 0.8976 0.6984 0.5985
Er6 0.5000 0.5000 0.0000
Er7 0.1024 0.3016 0.4015
Dy1 0.4032 0.2015 0.5990
Dy2 0.5968 0.7985 0.4010
La1 0.0000 0.0000 0.0000